Entry 1:
Entry from Alexandria via LeMat-Bulk: YScAu after structural relaxation (GGA-PBE).

Output
DOS(E_F), states/eV per atom: 1.153
Formation energy from the elements, meV per atom: -519
VASP energy, eV/atom: -5.88
Crystal system: tetragonal
Density, g cm⁻³: 7.6

a b c (Å): 3.4772 3.4772 11.9419
angles (deg): 90.00 90.00 90.00
Last column: nearest neighbours and their distance in Å.
Space group I4mm (No. 107)
Inequivalent atoms, fractional coordinates:
1 Y 0.0000 0.0000 0.0000 [2 per cell]  4 Au 3.16, 5 Sc 3.47-3.53, 4 Y 3.48
2 Sc 0.0000 0.0000 0.7046 [2 per cell]  4 Au 2.90
3 Au 0.0000 0.0000 0.3332 [2 per cell]  4 Sc 2.90, 4 Y 3.16

***

Entry 2:
Entry from Alexandria via LeMat-Bulk: YScZn2Au4 after structural relaxation (GGA-PBE).

Output
DOS(E_F), states/eV per atom: 0.436
Formation energy from the elements, meV per atom: -620
VASP energy, eV/atom: -4.18
Crystal system: trigonal
Density, g cm⁻³: 11.5

a b c (Å): 4.7425 4.7425 23.3682
angles (deg): 90.00 90.00 120.00
Last column: nearest neighbours and their distance in Å.
Space group R-3m (No. 166, hexagonal axes)
Inequivalent atoms, fractional coordinates:
1 Y 0.0000 0.0000 0.0000 [3 per cell]  8 Au 2.96-3.05
2 Sc 0.0000 0.0000 0.5000 [3 per cell]  8 Au 2.78-2.87
3 Zn 0.0000 0.0000 0.2499 [6 per cell]  8 Au 2.79-3.07
4 Au 0.0000 0.0000 0.1304 [6 per cell]  4 Zn 2.79-2.95, 3 Sc 2.87, 1 Y 3.05
5 Au 0.0000 0.0000 0.3811 [6 per cell]  1 Sc 2.78, 4 Zn 2.86-3.07, 3 Y 2.96

***

Entry 3:
Entry from Alexandria via LeMat-Bulk: YSc2ZnAu4 after structural relaxation (GGA-PBE).

Output
DOS(E_F), states/eV per atom: 0.509
Formation energy from the elements, meV per atom: -695
VASP energy, eV/atom: -4.88
Crystal system: trigonal
Density, g cm⁻³: 10.7

a b c (Å): 4.7357 4.7357 24.7323
angles (deg): 90.00 90.00 120.00
Last column: nearest neighbours and their distance in Å.
Space group R-3m (No. 166, hexagonal axes)
Inequivalent atoms, fractional coordinates:
1 Y 0.0000 0.0000 0.0000 [3 per cell]  8 Au 3.05-3.06
2 Sc 0.0000 0.0000 0.2403 [6 per cell]  7 Au 2.84-2.89
3 Zn 0.0000 0.0000 0.5000 [3 per cell]  8 Au 2.75-2.94
4 Au 0.0000 0.0000 0.1234 [6 per cell]  4 Sc 2.84-2.89, 3 Zn 2.94, 1 Y 3.05
5 Au 0.0000 0.0000 0.3887 [6 per cell]  1 Zn 2.75, 3 Sc 2.89, 3 Y 3.06

***

Entry 4:
Entry from Alexandria via LeMat-Bulk: Sc7Zn2Au2 after structural relaxation (GGA-PBE).

Output
DOS(E_F), states/eV per atom: 1.259
Formation energy from the elements, meV per atom: -181
VASP energy, eV/atom: -5.04
Crystal system: orthorhombic
Density, g cm⁻³: 5.5

a b c (Å): 7.1309 10.0674 7.0552
angles (deg): 90.00 90.00 90.00
Last column: nearest neighbours and their distance in Å.
Space group Cmmm (No. 65)
Inequivalent atoms, fractional coordinates:
1 Sc 0.0000 0.0000 0.0000 [2 per cell]  2 Au 2.96
2 Sc 0.0000 0.5000 0.2736 [4 per cell]  2 Au 2.83, 2 Zn 2.83, 4 Sc 3.09
3 Sc 0.2500 0.2500 0.2859 [8 per cell]  2 Au 2.73, 2 Zn 2.99, 1 Sc 3.02
4 Zn 0.1716 0.0000 0.5000 [4 per cell]  1 Zn 2.45
5 Au 0.0000 0.2939 0.0000 [4 per cell]  7 Sc 2.73-2.96

***

Entry 5:
Entry from Alexandria via LeMat-Bulk: ScZn5Au7 after structural relaxation (GGA-PBE).

Output
DOS(E_F), states/eV per atom: 0.385
Formation energy from the elements, meV per atom: -293
VASP energy, eV/atom: -3.03
Crystal system: orthorhombic
Density, g cm⁻³: 12.9

a b c (Å): 5.3160 9.2934 9.1097
angles (deg): 90.00 90.00 90.00
Last column: nearest neighbours and their distance in Å.
Space group Imm2 (No. 44)
Inequivalent atoms, fractional coordinates:
1 Sc 0.0000 0.0000 0.0000 [2 per cell]  8 Au 2.97-3.13
2 Zn 0.0000 0.5000 0.2447 [2 per cell]  4 Zn 2.69, 6 Au 2.69-2.81
3 Zn 0.2500 0.2484 0.2357 [8 per cell]  3 Zn 2.66-2.69, 7 Au 2.66-2.83
4 Au 0.0000 0.0000 0.3391 [2 per cell]  4 Zn 2.83, 3 Au 2.85-3.05, 1 Sc 3.09
5 Au 0.0000 0.0000 0.6739 [2 per cell]  6 Zn 2.73-2.75, 1 Sc 2.97, 1 Au 3.05
6 Au 0.0000 0.3228 0.4784 [4 per cell]  5 Zn 2.67-2.77, 1 Au 2.80
7 Au 0.0000 0.3259 0.9930 [4 per cell]  5 Zn 2.68-2.81, 3 Au 2.91-3.00
8 Au 0.0000 0.5000 0.7276 [2 per cell]  4 Zn 2.66, 6 Au 2.80-2.91

***

Entry 6:
Entry from Alexandria via LeMat-Bulk: Sc6ZnAu5 after structural relaxation (GGA-PBE).

Output
DOS(E_F), states/eV per atom: 0.652
Formation energy from the elements, meV per atom: -740
VASP energy, eV/atom: -5.38
Crystal system: orthorhombic
Density, g cm⁻³: 9.3

a b c (Å): 4.7991 14.5170 6.7615
angles (deg): 90.00 90.00 90.00
Last column: nearest neighbours and their distance in Å.
Space group Cmmm (No. 65)
Inequivalent atoms, fractional coordinates:
1 Sc 0.0000 0.0000 0.2450 [4 per cell]  6 Au 2.81-2.99, 2 Zn 2.95
2 Sc 0.0000 0.3325 0.2537 [8 per cell]  7 Au 2.90-3.10, 1 Zn 2.95
3 Zn 0.0000 0.5000 0.5000 [2 per cell]  8 Sc 2.95, 4 Au 3.27
4 Au 0.0000 0.1528 0.5000 [4 per cell]  8 Sc 2.81-3.10
5 Au 0.0000 0.1714 0.0000 [4 per cell]  8 Sc 2.90-2.99
6 Au 0.0000 0.5000 0.0000 [2 per cell]  8 Sc 2.92-2.98

***

Entry 7:
Entry from Alexandria via LeMat-Bulk: ScZnAu after structural relaxation (GGA-PBE).

Output
DOS(E_F), states/eV per atom: 0.523
Formation energy from the elements, meV per atom: -582
VASP energy, eV/atom: -4.21
Crystal system: hexagonal
Density, g cm⁻³: 9.3

a b c (Å): 4.4767 4.4767 3.1782
angles (deg): 90.00 90.00 120.00
Last column: nearest neighbours and their distance in Å.
Space group P-6m2 (No. 187)
Inequivalent atoms, fractional coordinates:
1 Sc 0.0000 0.0000 0.0000 [1 per cell]  6 Zn 3.03, 6 Au 3.03, 2 Sc 3.18
2 Zn 0.6667 0.3333 0.5000 [1 per cell]  3 Au 2.58
3 Au 0.3333 0.6667 0.5000 [1 per cell]  3 Zn 2.58

***

Entry 8:
Entry from Alexandria via LeMat-Bulk: ScZnAu3 after structural relaxation (GGA-PBE).

Output
DOS(E_F), states/eV per atom: 0.820
Formation energy from the elements, meV per atom: 57
VASP energy, eV/atom: -3.43
Crystal system: cubic
Density, g cm⁻³: 10.7

a b c (Å): 4.7797 4.7797 4.7797
angles (deg): 90.00 90.00 90.00
Last column: nearest neighbours and their distance in Å.
Space group Pm-3m (No. 221)
Inequivalent atoms, fractional coordinates:
1 Sc 0.0000 0.0000 0.0000 [1 per cell]  12 Au 3.38
2 Zn 0.5000 0.5000 0.5000 [1 per cell]  6 Au 2.39
3 Au 0.0000 0.5000 0.5000 [3 per cell]  2 Zn 2.39

***

Entry 9:
Entry from Alexandria via LeMat-Bulk: ScZn6Au4 after structural relaxation (GGA-PBE).

Output
DOS(E_F), states/eV per atom: 0.415
Formation energy from the elements, meV per atom: -269
VASP energy, eV/atom: -2.73
Crystal system: hexagonal
Density, g cm⁻³: 10.4

a b c (Å): 7.9210 7.9210 3.6119
angles (deg): 90.00 90.00 120.00
Last column: nearest neighbours and their distance in Å.
Space group P-6m2 (No. 187)
Inequivalent atoms, fractional coordinates:
1 Sc 0.0000 0.0000 0.0000 [1 per cell]  6 Au 3.07, 6 Zn 3.20
2 Zn 0.1925 0.3849 0.5000 [3 per cell]  4 Au 2.57-2.65
3 Zn 0.5305 0.0610 0.0000 [3 per cell]  5 Au 2.69-2.70
4 Au 0.3333 0.6667 0.0000 [1 per cell]  9 Zn 2.65-2.70
5 Au 0.3624 0.1812 0.5000 [3 per cell]  6 Zn 2.57-2.69

***

Entry 10:
Entry from Alexandria via LeMat-Bulk: Sc2Zn3Au3 after structural relaxation (GGA-PBE).

Output
DOS(E_F), states/eV per atom: 0.668
Formation energy from the elements, meV per atom: -415
VASP energy, eV/atom: -3.70
Crystal system: hexagonal
Density, g cm⁻³: 9.2

a b c (Å): 7.8404 7.8404 5.9697
angles (deg): 90.00 90.00 120.00
Last column: nearest neighbours and their distance in Å.
Space group P6_3/mcm (No. 193)
Inequivalent atoms, fractional coordinates:
1 Sc 0.3333 0.6667 0.0000 [4 per cell]  6 Au 2.97, 2 Sc 2.98, 6 Zn 3.09
2 Zn 0.0000 0.3105 0.2500 [6 per cell]  3 Au 2.59-2.69
3 Au 0.0000 0.3463 0.7500 [6 per cell]  3 Zn 2.59-2.69

***

Entry 11:
Entry from Alexandria via LeMat-Bulk: ScZn2Au after structural relaxation (GGA-PBE).

Output
DOS(E_F), states/eV per atom: 0.773
Formation energy from the elements, meV per atom: -396
VASP energy, eV/atom: -3.44
Crystal system: tetragonal
Density, g cm⁻³: 8.8

a b c (Å): 4.0479 4.0479 4.2891
angles (deg): 90.00 90.00 90.00
Last column: nearest neighbours and their distance in Å.
Space group P4/mmm (No. 123)
Inequivalent atoms, fractional coordinates:
1 Sc 0.0000 0.0000 0.0000 [1 per cell]  4 Au 2.86, 8 Zn 2.95
2 Zn 0.0000 0.5000 0.5000 [2 per cell]  4 Zn 2.86, 4 Au 2.95, 4 Sc 2.95
3 Au 0.5000 0.5000 0.0000 [1 per cell]  4 Sc 2.86, 8 Zn 2.95

***

Entry 12:
Entry from Alexandria via LeMat-Bulk: ScZn2Au after structural relaxation (GGA-PBE).

Output
DOS(E_F), states/eV per atom: 0.539
Formation energy from the elements, meV per atom: -369
VASP energy, eV/atom: -3.41
Crystal system: tetragonal
Density, g cm⁻³: 8.8

a b c (Å): 3.3701 3.3701 6.1853
angles (deg): 90.00 90.00 90.00
Last column: nearest neighbours and their distance in Å.
Space group P4mm (No. 99)
Inequivalent atoms, fractional coordinates:
1 Sc 0.0000 0.0000 0.0000 [1 per cell]  4 Au 2.85, 6 Zn 2.94-3.16
2 Zn 0.0000 0.0000 0.4895 [1 per cell]  4 Zn 2.72, 4 Au 2.86, 1 Sc 3.03
3 Zn 0.5000 0.5000 0.2786 [1 per cell]  4 Zn 2.72, 1 Au 2.89, 4 Sc 2.94
4 Au 0.5000 0.5000 0.7463 [1 per cell]  4 Sc 2.85, 5 Zn 2.86-2.89